No. 1
The following is a meta-GGA SCAN calculation of a crystal of TlHgBr relaxed with PBEsol, from the Alexandria database.

Summary:
Energy above the most stable polymorph in this dataset in meV/atom: 0
Formation energy (no corrections) in eV per atom: -0.51
Magnetization in μB/cell: 0.00

```
data_TlHgBr
_symmetry_space_group_name_H-M 'I 4 m m'
_symmetry_Int_Tables_number 107
_symmetry_space_group_name_Hall 'I 4 -2'
_cell_length_a 3.8834
_cell_length_b 3.8834
_cell_length_c 11.6055
_cell_angle_alpha 90.00
_cell_angle_beta 90.00
_cell_angle_gamma 90.00
loop_
_atom_site_label
_atom_site_type_symbol
_atom_site_fract_x
_atom_site_fract_y
_atom_site_fract_z
Tl1 Tl 0.0000 0.0000 0.0000
Hg1 Hg 0.0000 0.0000 0.3219
Br1 Br 0.0000 0.0000 0.6440
```


No. 2
The following is a meta-GGA SCAN calculation of a crystal of TlHg2Br relaxed with PBEsol, from the Alexandria database.

Summary:
Energy above the most stable polymorph in this dataset in meV/atom: 12
Formation energy (no corrections) in eV per atom: -0.37
Magnetization in μB/cell: 0.00

```
data_TlHg2Br
_symmetry_space_group_name_H-M 'I 4/m m m'
_symmetry_Int_Tables_number 139
_symmetry_space_group_name_Hall '-I 4 2'
_cell_length_a 4.4370
_cell_length_b 4.4370
_cell_length_c 11.4090
_cell_angle_alpha 90.00
_cell_angle_beta 90.00
_cell_angle_gamma 90.00
loop_
_atom_site_label
_atom_site_type_symbol
_atom_site_fract_x
_atom_site_fract_y
_atom_site_fract_z
Tl1 Tl 0.0000 0.0000 0.0000
Hg1 Hg 0.0000 0.5000 0.2500
Br1 Br 0.0000 0.0000 0.5000
```


No. 3
The following is a meta-GGA SCAN calculation of a crystal of TlHg2Br relaxed with PBEsol, from the Alexandria database.

Summary:
Energy above the most stable polymorph in this dataset in meV/atom: 0
Formation energy (no corrections) in eV per atom: -0.38
Magnetization in μB/cell: 0.00

```
data_TlHg2Br
_symmetry_space_group_name_H-M 'P 1 m 1'
_symmetry_Int_Tables_number 6
_cell_length_a 4.4462
_cell_length_b 4.2158
_cell_length_c 6.6986
_cell_angle_alpha 90.00
_cell_angle_beta 109.33
_cell_angle_gamma 90.00
loop_
_symmetry_equiv_pos_as_xyz
'x,y,z'
'x,-y,z'
loop_
_atom_site_label
_atom_site_type_symbol
_atom_site_fract_x
_atom_site_fract_y
_atom_site_fract_z
Tl1 Tl 0.0000 0.0000 0.0000
Hg1 Hg 0.2727 0.0000 0.5379
Hg2 Hg 0.8021 0.5000 0.5960
Br1 Br 0.5568 0.5000 0.1126
```


No. 4
The following is a meta-GGA SCAN calculation of a crystal of HgWBr2 relaxed with PBEsol, from the Alexandria database.

Summary:
Energy above the most stable polymorph in this dataset in meV/atom: 227
Formation energy (no corrections) in eV per atom: 0.50
Magnetization in μB/cell: 0.00

```
data_HgWBr2
_symmetry_space_group_name_H-M 'R -3 m'
_symmetry_Int_Tables_number 166
_symmetry_space_group_name_Hall '-R 3 2"'
_cell_length_a 3.0988
_cell_length_b 3.0988
_cell_length_c 33.0455
_cell_angle_alpha 90.00
_cell_angle_beta 90.00
_cell_angle_gamma 120.00
loop_
_atom_site_label
_atom_site_type_symbol
_atom_site_fract_x
_atom_site_fract_y
_atom_site_fract_z
Hg1 Hg 0.0000 0.0000 0.0000
W1 W 0.0000 0.0000 0.5000
Br1 Br 0.0000 0.0000 0.4277
```


No. 5
The following is a meta-GGA SCAN calculation of a crystal of HgWBr2 relaxed with PBEsol, from the Alexandria database.

Summary:
Energy above the most stable polymorph in this dataset in meV/atom: 0
Formation energy (no corrections) in eV per atom: 0.27
Magnetization in μB/cell: 2.56

```
data_HgWBr2
_symmetry_space_group_name_H-M 'C 1 m 1'
_symmetry_Int_Tables_number 8
_cell_length_a 10.4918
_cell_length_b 3.1041
_cell_length_c 6.9374
_cell_angle_alpha 90.00
_cell_angle_beta 114.37
_cell_angle_gamma 90.00
loop_
_symmetry_equiv_pos_as_xyz
'x,y,z'
'x,-y,z'
'x+1/2,y+1/2,z'
'x+1/2,-y+1/2,z'
loop_
_atom_site_label
_atom_site_type_symbol
_atom_site_fract_x
_atom_site_fract_y
_atom_site_fract_z
Hg1 Hg 0.0000 0.0000 0.0000
W1 W 0.2627 0.0000 0.9998
Br1 Br 0.1617 0.5000 0.6809
Br2 Br 0.3355 0.5000 0.3189
```


No. 6
The following is a meta-GGA SCAN calculation of a crystal of HgW2Br relaxed with PBEsol, from the Alexandria database.

Summary:
Energy above the most stable polymorph in this dataset in meV/atom: 0
Formation energy (no corrections) in eV per atom: 1.38
Magnetization in μB/cell: 0.00

```
data_HgW2Br
_symmetry_space_group_name_H-M 'C 1 2/m 1'
_symmetry_Int_Tables_number 12
_cell_length_a 5.4807
_cell_length_b 10.2060
_cell_length_c 2.9877
_cell_angle_alpha 90.00
_cell_angle_beta 117.71
_cell_angle_gamma 90.00
loop_
_symmetry_equiv_pos_as_xyz
'x,y,z'
'-x,-y,-z'
'-x,y,-z'
'x,-y,z'
'x+1/2,y+1/2,z'
'-x+1/2,-y+1/2,-z'
'-x+1/2,y+1/2,-z'
'x+1/2,-y+1/2,z'
loop_
_atom_site_label
_atom_site_type_symbol
_atom_site_fract_x
_atom_site_fract_y
_atom_site_fract_z
Hg1 Hg 0.0000 0.0000 0.0000
W1 W 0.2500 0.2500 0.0000
Br1 Br 0.0000 0.5000 0.0000
```